[1]
Here is crystalline Te2Rh at its relaxed geometry from Alexandria via LeMat-Bulk. Energies are from PBE-GGA.

a b c (Å): 5.617 5.617 5.617
angles (deg): 107.68 107.68 113.12
Fractional coordinates of all 6 atoms:
Rh1 0.750 0.750 0.000
Rh2 0.250 0.250 0.000
Te1 0.178 0.678 0.855
Te2 0.322 0.178 0.500
Te3 0.822 0.322 0.145
Te4 0.678 0.822 0.500

## Properties
D(E_F): 0.795 states/eV per atom
Energy relative to the elements, uncorrected: 2 kJ per mole of atoms
Density: 8.7 g/cm3

[2]
Here is crystalline CeNd2In at its relaxed geometry from Alexandria via LeMat-Bulk. Energies are from PBE-GGA.

a b c (Å): 5.529 5.529 5.529
angles (deg): 60.00 60.00 60.00
Last column: magnetic moment on the atom in μB.
Fractional coordinates of all 4 atoms:
Ce1 0.000 0.000 0.000  0.15
Nd1 0.750 0.750 0.750  0.00
In1 0.500 0.500 0.500  0.00
Nd2 0.250 0.250 0.250  0.00

## Properties
D(E_F): 1.812 states/eV per atom
Calculated formation energy: -0.09 eV per atom
Density: 7.5 g/cm3

Which of these has the highest D(E_F)? CeNd2In

What is the formula in the first record? Te2Rh

Which value of D(E_F) does entry 2 give? 1.812 states/eV per atom

density of number 2 (CeNd2In)? 7.5 g/cm3